Below is crystalline Ni2SnWO6 at its relaxed geometry, with properties calculated at the PBE with a Hubbard U level.

abc: 5.8724 5.8724 3.8633
angles: 90.00 90.00 90.00
With the nearest neighbours (Å) after each atom.
Fractional coordinates of all 10 atoms:
1 Ni 0.0000 0.5000 0.0000  4 O 2.08
2 Ni 0.5000 0.0000 0.0000  4 O 2.08
3 Sn 0.0000 0.0000 0.0000  2 O 1.93
4 W 0.5000 0.5000 0.0000  6 O 1.93-1.97
5 O 0.0000 0.0000 0.5000  2 Sn 1.93
6 O 0.2628 0.2628 0.0000  1 W 1.97, 2 Ni 2.08, 1 Sn 2.18
7 O 0.2628 0.7372 0.0000  1 W 1.97, 2 Ni 2.08, 1 Sn 2.18
8 O 0.5000 0.5000 0.5000  2 W 1.93
9 O 0.7372 0.2628 0.0000  1 W 1.97, 2 Ni 2.08, 1 Sn 2.18
10 O 0.7372 0.7372 0.0000  1 W 1.97, 2 Ni 2.08, 1 Sn 2.18

E, eV/f.u.: -57.40